KLi2Be: relaxed, PBE-GGA.

POSCAR file:
```
KLi2Be
1.0
5.669 -0.005 0.000
1.838 5.363 0.000
-3.753 -2.679 3.297
Be K Li
1 1 2
Cartesian
3.753 2.679 0.000
2.834 -0.002 1.649
0.000 0.000 0.000
0.919 2.681 1.649
```

Results
As for the formation enthalpy at 0 K: 629 meV per atom. The calculation puts the volume at 25.1 A^3/atom. The crystal system is tetragonal. Its calculated total energy is -1.534 eV/atom.

FeAsAu2: relaxed, PBE-GGA.

POSCAR file:
```
FeAsAu2
1.0
-1.367 -3.778 2.192
-2.443 -3.173 -2.215
1.887 -4.044 -1.015
As Au Fe
1 2 1
Cartesian
-0.961 -5.497 -0.519
0.000 0.000 0.000
-0.481 -2.749 -0.260
-1.442 -8.246 -0.779
```

Results
As for the formation enthalpy at 0 K: 311 meV per atom. The calculation puts the volume at 16.9 A^3/atom. The crystal system is cubic. Its calculated total energy is -4.606 eV/atom.

What did the second record say?
FeAsAu2: relaxed, PBE-GGA.

POSCAR file:
```
FeAsAu2
1.0
-1.367 -3.778 2.192
-2.443 -3.173 -2.215
1.887 -4.044 -1.015
As Au Fe
1 2 1
Cartesian
-0.961 -5.497 -0.519
0.000 0.000 0.000
-0.481 -2.749 -0.260
-1.442 -8.246 -0.779
```

Results
As for the formation enthalpy at 0 K: 311 meV per atom. The calculation puts the volume at 16.9 A^3/atom. The crystal system is cubic. Its calculated total energy is -4.606 eV/atom.